Entry 1:
RbNbTl | PBE-GGA | optimized geometry

Summary:
Its volume is 113.5 Å³/f.u. The value obtained for the calculated density is 5.60 g cm⁻³. For the energy relative to the lowest polymorph listed for this composition, the calculation gives 0 meV per atom. The calculation puts the total magnetization at 4.14 μB/cell.

abc: 5.4343 5.4343 5.4343
angles: 60.00 60.00 60.00
With the nearest neighbours (Å) after each atom.
Element x y z (fractional)
Rb1 0.7500 0.7500 0.7500  4 Tl 3.33
Nb1 0.2500 0.2500 0.2500  4 Tl 3.33
Tl1 0.0000 0.0000 0.0000  4 Rb 3.33, 4 Nb 3.33

Entry 2:
RbBeCo | PBE-GGA | optimized geometry

Summary:
Its volume is 108.5 Å³/f.u. The value obtained for the calculated density is 2.35 g cm⁻³. For the energy relative to the lowest polymorph listed for this composition, the calculation gives 588 meV per atom. The calculation puts the total magnetization at 1.97 μB/cell.

abc: 5.3532 5.3532 5.3532
angles: 60.00 60.00 60.00
With the nearest neighbours (Å) after each atom.
Element x y z (fractional)
Be1 0.2500 0.2500 0.2500  4 Rb 3.28
Co1 0.7500 0.7500 0.7500  4 Rb 3.28
Rb1 0.0000 0.0000 0.0000  4 Co 3.28, 4 Be 3.28

Entry 3:
BaAg2O2 | PBE-GGA | optimized geometry

Summary:
Its volume is 97.3 Å³/f.u. The value obtained for the calculated density is 6.57 g cm⁻³. For the energy relative to the lowest polymorph listed for this composition, the calculation gives 0 meV per atom.

abc: 6.1559 6.1559 6.5785
angles: 116.52 116.52 88.72
With the nearest neighbours (Å) after each atom.
Element x y z (fractional)
O1 0.1326 0.3048 0.2425  2 Ag 2.08-2.09
O2 0.6952 0.8674 0.2575  2 Ag 2.08-2.09
O3 0.8674 0.6952 0.7575  2 Ag 2.08-2.09
O4 0.3048 0.1326 0.7425  2 Ag 2.08-2.09
Ba1 0.1276 0.8724 0.2500  4 O 2.56-2.69
Ba2 0.8724 0.1276 0.7500  4 O 2.56-2.69
Ag1 0.0000 0.5000 0.5000  2 O 2.09
Ag2 0.5000 0.5000 0.0000  2 O 2.08
Ag3 0.5000 0.5000 0.5000  2 O 2.08
Ag4 0.5000 0.0000 0.0000  2 O 2.09

Entry 4:
RbNaMoPd | PBE-GGA | optimized geometry

Summary:
Its volume is 101.9 Å³/f.u. The value obtained for the calculated density is 5.06 g cm⁻³. For the energy relative to the lowest polymorph listed for this composition, the calculation gives 0 meV per atom. The calculation puts the total magnetization at 4.27 μB/cell.

abc: 5.2434 5.2434 5.2434
angles: 60.00 60.00 60.00
With the nearest neighbours (Å) after each atom.
Element x y z (fractional)
Pd1 0.2500 0.2500 0.2500  4 Rb 3.21, 4 Mo 3.21
Rb1 0.5000 0.5000 0.5000  4 Na 3.21, 4 Pd 3.21
Mo1 0.0000 0.0000 0.0000  4 Na 3.21, 4 Pd 3.21
Na1 0.7500 0.7500 0.7500  4 Rb 3.21, 4 Mo 3.21

Entry 5:
Cu7Ag3 | PBE-GGA | optimized geometry

Summary:
Its volume is 137.1 Å³/f.u. The formation energy comes out at 0.08 eV/atom. The value obtained for the calculated density is 9.31 g cm⁻³. For the energy relative to the lowest polymorph listed for this composition, the calculation gives 37 meV per atom.

abc: 4.5793 4.6798 7.0930
angles: 106.75 102.13 101.02
With the nearest neighbours (Å) after each atom.
Element x y z (fractional)
Ag1 0.1778 0.8839 0.3834  7 Cu 2.64-2.81, 4 Ag 2.71-2.88
Ag2 0.5000 0.5000 0.5000  8 Cu 2.72-2.81, 4 Ag 2.73-2.77
Ag3 0.8222 0.1161 0.6166  7 Cu 2.64-2.81, 4 Ag 2.71-2.88
Cu1 0.2920 0.1017 0.0888  10 Cu 2.50-2.70, 1 Ag 2.68
Cu2 0.0000 0.5000 0.0000  10 Cu 2.55-2.70, 2 Ag 2.64
Cu3 0.7080 0.8983 0.9112  10 Cu 2.50-2.70, 1 Ag 2.68
Cu4 0.8709 0.2821 0.2723  6 Cu 2.52-2.68, 5 Ag 2.70-2.81
Cu5 0.1291 0.7179 0.7277  6 Cu 2.52-2.68, 5 Ag 2.70-2.81
Cu6 0.5803 0.6895 0.1792  8 Cu 2.50-2.68, 3 Ag 2.65-2.74
Cu7 0.4197 0.3105 0.8208  8 Cu 2.50-2.68, 3 Ag 2.65-2.74

Entry 6:
TbSmFe2B2N2 | PBE-GGA | optimized geometry

Summary:
Its volume is 94.8 Å³/f.u. The calculation puts the total energy at -7.9646 eV/atom. The value obtained for the calculated density is 8.24 g cm⁻³. The calculation puts the total magnetization at 2.43 μB/cell.

abc: 3.4949 3.4949 7.7607
angles: 90.00 90.00 90.00
With the nearest neighbours (Å) after each atom.
Element x y z (fractional)
N1 0.0000 0.0000 0.8544  1 B 1.48
N2 0.5000 0.5000 0.1440  1 B 1.49
B1 0.0000 0.0000 0.6632  1 N 1.48
B2 0.5000 0.5000 0.3359  1 N 1.49
Fe1 0.0000 0.5000 0.5008  4 B 2.15-2.17
Fe2 0.5000 0.0000 0.5008  4 B 2.15-2.17
Sm1 0.0000 0.0000 0.1677  5 N 2.43-2.48
Tb1 0.5000 0.5000 0.8333  5 N 2.41-2.48

Entry 7:
Gd3Mg3Pd2Pt | PBE-GGA | optimized geometry

Summary:
Its volume is 197.9 Å³/f.u. The calculation puts the total energy at -4.6613 eV/atom. The value obtained for the calculated density is 7.99 g cm⁻³. The calculation puts the total magnetization at 0.01 μB/cell.

abc: 7.4643 7.4643 4.1017
angles: 90.00 90.00 120.00
With the nearest neighbours (Å) after each atom.
Element x y z (fractional)
Pt1 0.0000 0.0000 0.5000  6 Mg 2.74, 3 Gd 3.05
Gd1 0.0000 0.4090 0.5000  4 Pd 3.05, 1 Pt 3.05, 6 Mg 3.31-3.36
Gd2 0.4090 0.0000 0.5000  4 Pd 3.05, 1 Pt 3.05, 6 Mg 3.31-3.36
Gd3 0.5910 0.5910 0.5000  4 Pd 3.05, 1 Pt 3.05, 6 Mg 3.31-3.36
Mg1 0.7573 0.0000 0.0000  2 Pt 2.74, 2 Pd 2.89
Mg2 0.0000 0.7573 0.0000  2 Pt 2.74, 2 Pd 2.89
Mg3 0.2427 0.2427 0.0000  2 Pt 2.74, 2 Pd 2.89
Pd1 0.6667 0.3333 0.0000  3 Mg 2.89, 6 Gd 3.05
Pd2 0.3333 0.6667 0.0000  3 Mg 2.89, 6 Gd 3.05

Entry 8:
PrInPt | PBE-GGA | optimized geometry

Summary:
Its volume is 86.3 Å³/f.u. The calculation puts the total energy at -4.6831 eV/atom. The value obtained for the calculated density is 8.68 g cm⁻³. The calculation puts the total magnetization at 0.01 μB/cell.

abc: 4.9597 4.9597 4.9597
angles: 60.00 60.00 60.00
With the nearest neighbours (Å) after each atom.
Element x y z (fractional)
Pr1 0.0000 0.0000 0.0000  4 Pt 3.04, 4 In 3.04
Pt1 0.7500 0.7500 0.7500  4 Pr 3.04
In1 0.2500 0.2500 0.2500  4 Pr 3.04

Entry 9:
NdO | PBE-GGA | optimized geometry

Summary:
Its volume is 41.9 Å³/f.u. The value obtained for the calculated density is 6.36 g cm⁻³. For the energy relative to the lowest polymorph listed for this composition, the calculation gives 180 meV per atom. The calculation puts the total magnetization at 0.96 μB/cell.

abc: 3.8974 3.8974 3.8974
angles: 60.00 60.00 60.00
With the nearest neighbours (Å) after each atom.
Element x y z (fractional)
Nd1 0.0000 0.0000 0.0000  4 O 2.39
O1 0.2500 0.2500 0.2500  4 Nd 2.39

Entry 10:
HfMg | PBE-GGA | optimized geometry

Summary:
Its volume is 44.1 Å³/f.u. The calculation puts the total energy at -5.5929 eV/atom. The value obtained for the calculated density is 7.64 g cm⁻³. The calculation puts the total magnetization at 0.23 μB/cell.

abc: 6.3589 6.3589 5.0354
angles: 90.00 90.00 120.00
With the nearest neighbours (Å) after each atom.
Element x y z (fractional)
Mg1 0.9880 0.4940 0.0000  6 Mg 3.06-3.29, 6 Hf 3.12-3.18
Mg2 0.3333 0.6667 0.5000  6 Mg 3.16, 6 Hf 3.18
Mg3 0.5060 0.4940 0.0000  6 Mg 3.06-3.29, 6 Hf 3.12-3.18
Mg4 0.5060 0.0120 0.0000  6 Mg 3.06-3.29, 6 Hf 3.12-3.18
Hf1 0.8409 0.1591 0.5000  6 Hf 3.03-3.32, 6 Mg 3.12-3.18
Hf2 0.3182 0.1591 0.5000  6 Hf 3.03-3.32, 6 Mg 3.12-3.18
Hf3 0.0000 0.0000 0.0000  6 Hf 3.07, 6 Mg 3.18
Hf4 0.8409 0.6818 0.5000  6 Hf 3.03-3.32, 6 Mg 3.12-3.18

Entry 11:
Li2ScNi | PBE-GGA | optimized geometry

Summary:
Its volume is 59.6 Å³/f.u. The value obtained for the calculated density is 3.27 g cm⁻³. For the energy relative to the lowest polymorph listed for this composition, the calculation gives 5 meV per atom. The calculation puts the total magnetization at 0.00 μB/cell.

abc: 4.3856 4.3856 4.3856
angles: 60.00 60.00 60.00
With the nearest neighbours (Å) after each atom.
Element x y z (fractional)
Sc1 0.7500 0.7500 0.7500  4 Ni 2.69, 4 Li 2.69
Ni1 0.5000 0.5000 0.5000  4 Sc 2.69, 4 Li 2.69
Li1 0.2500 0.2500 0.2500  4 Ni 2.69, 4 Li 2.69
Li2 0.0000 0.0000 0.0000  4 Sc 2.69, 4 Li 2.69

Entry 12:
Mg2Zn2SiPb | PBE-GGA | optimized geometry

Summary:
Its volume is 126.3 Å³/f.u. The calculation puts the total energy at -2.4056 eV/atom. The value obtained for the calculated density is 5.45 g cm⁻³.

abc: 10.9440 4.4643 10.9497
angles: 90.00 109.15 90.00
With the nearest neighbours (Å) after each atom.
Element x y z (fractional)
Mg1 0.9981 0.0000 0.2570  4 Zn 2.62-2.84
Mg2 0.1264 0.5000 0.6071  4 Zn 2.69-2.87
Mg3 0.2523 0.0000 0.9969  3 Zn 2.69-2.72
Mg4 0.7257 0.0000 0.4807  4 Zn 2.79-2.89, 1 Si 3.01
Mg5 0.8979 0.5000 0.8945  4 Zn 2.67-2.87, 1 Si 2.93
Mg6 0.5356 0.0000 0.7780  4 Zn 2.79-2.98, 1 Si 2.95, 2 Pb 3.06
Mg7 0.3733 0.5000 0.3716  4 Zn 2.59-2.64
Mg8 0.5974 0.5000 0.1374  4 Zn 2.63-2.74
Zn1 0.4750 0.0000 0.4916  2 Si 2.54-2.75, 3 Mg 2.64-2.79
Zn2 0.7294 0.0000 0.2246  2 Si 2.54-2.73, 3 Mg 2.66-2.82
Zn3 0.1311 0.5000 0.3630  3 Si 2.53-2.66, 4 Mg 2.62-2.71
Zn4 0.6613 0.5000 0.9154  2 Si 2.57, 4 Mg 2.67-2.79
Zn5 0.3542 0.5000 0.1291  3 Si 2.51-2.74, 4 Mg 2.59-2.69
Zn6 0.0134 0.0000 0.0234  4 Mg 2.62-2.72, 3 Si 2.63
Zn7 0.2630 0.0000 0.7192  1 Si 2.53, 2 Mg 2.74, 2 Pb 2.82
Zn8 0.8705 0.5000 0.6249  4 Pb 2.78-2.79, 4 Mg 2.87-2.89
Pb1 0.8661 0.5000 0.3683  4 Zn 2.79-2.92, 2 Mg 3.12
Pb2 0.0083 0.0000 0.7515  4 Zn 2.79-2.96, 1 Mg 3.11
Pb3 0.3812 0.5000 0.8699  4 Zn 2.82-2.95, 3 Mg 3.10-3.16
Pb4 0.6187 0.5000 0.6306  4 Zn 2.78-3.00, 2 Mg 3.06
Si1 0.7690 0.0000 0.0088  4 Zn 2.54-2.63
Si2 0.4868 0.0000 0.2446  4 Zn 2.73-2.75, 4 Mg 2.96-3.06
Si3 0.1247 0.5000 0.1299  4 Zn 2.51-2.63
Si4 0.2404 0.0000 0.4820  4 Zn 2.53-2.66